A plane-wave DFT calculation with PBE-GGA was carried out for a geometry-optimized In10NiTe10 structure.

Properties
Energy: -137.50 eV for the cell shown

Cell: 8.1177 12.6389 13.3038 Å, 90.00 90.00 90.00°
Element x y z (fractional)
Te 0.5000 0.1186 0.8809
Te 0.5000 0.6186 0.6191
Te 0.2941 0.6730 0.3271
Te 0.5000 0.8814 0.1191
Te 0.2941 0.1730 0.1729
Te 0.0000 0.2256 0.4740
Te 0.0000 0.7256 0.0260
Te 0.0000 0.2744 0.9740
Te 0.0000 0.9345 0.2715
Te 0.0000 0.0655 0.7285
Te 0.7059 0.8270 0.8271
Te 0.0000 0.5655 0.7715
Te 0.0000 0.4345 0.2285
Te 0.7059 0.3270 0.6729
Te 0.7059 0.1730 0.1729
Te 0.2941 0.3270 0.6729
Te 0.5000 0.3814 0.3809
Te 0.2941 0.8270 0.8271
Te 0.0000 0.7744 0.5260
Te 0.7059 0.6730 0.3271
In 0.7695 0.0000 0.0000
In 0.2670 0.1069 0.5857
In 0.0000 0.1594 0.2774
In 0.5000 0.6496 0.1351
In 0.2305 0.0000 0.0000
In 0.5000 0.8504 0.6351
In 0.2670 0.3931 0.0857
In 0.7330 0.3931 0.0857
In 0.5000 0.3504 0.8649
In 0.2670 0.6069 0.9143
In 0.2305 0.5000 0.5000
In 0.0000 0.8406 0.7226
In 0.5000 0.1496 0.3649
In 0.0000 0.6594 0.2226
In 0.7695 0.5000 0.5000
In 0.2670 0.8931 0.4143
In 0.7330 0.1069 0.5857
In 0.7330 0.6069 0.9143
In 0.7330 0.8931 0.4143
In 0.0000 0.3406 0.7774
Ni 0.5000 0.5000 0.0000
Ni 0.5000 0.0000 0.5000



A plane-wave DFT calculation with PBE-GGA was carried out for a geometry-optimized Si4Tc5 structure.

Properties
Energy: -152.84 eV for the cell shown

Cell: 7.5636 7.5636 4.9200 Å, 90.00 90.00 120.00°
Element x y z (fractional)
Tc 0.0000 0.2827 0.2500
Tc 0.6667 0.3333 0.0000
Tc 0.7173 0.7173 0.2500
Tc 0.2827 0.2827 0.7500
Tc 0.2827 0.0000 0.2500
Tc 0.7173 0.0000 0.7500
Tc 0.0000 0.7173 0.7500
Tc 0.3333 0.6667 0.5000
Tc 0.3333 0.6667 0.0000
Tc 0.6667 0.3333 0.5000
Si 0.0000 0.0000 0.0000
Si 0.0000 0.3871 0.7500
Si 0.6129 0.6129 0.7500
Si 0.3871 0.0000 0.7500
Si 0.3871 0.3871 0.2500
Si 0.0000 0.0000 0.5000
Si 0.0000 0.6129 0.2500
Si 0.6129 0.0000 0.2500



A plane-wave DFT calculation with PBE-GGA was carried out for a geometry-optimized TmThTl structure.

Properties
Relative energy among the computed polymorphs: 0.000 eV per atom

Cell: 5.2130 5.2130 5.2130 Å, 60.00 60.00 60.00°
Element x y z (fractional)
Th 0.2500 0.2500 0.2500
Tl 0.0000 0.0000 0.0000
Tm 0.7500 0.7500 0.7500



A plane-wave DFT calculation with PBE-GGA was carried out for a geometry-optimized YFeTc2 structure.

Properties
E_form: 227 meV per atom

Cell: 4.5160 4.5160 4.5160 Å, 60.00 60.00 60.00°
Element x y z (fractional)
Tc 0.0000 0.0000 0.0000
Tc 0.7500 0.7500 0.7500
Fe 0.2500 0.2500 0.2500
Y 0.5000 0.5000 0.5000